Entry 1:
Hf6AlCo | GGA-PBE | optimized geometry

a b c (Å): 7.646 5.608 7.560
angles (deg): 69.14 43.27 47.96
Atoms (fractional coordinates):
Hf1 0.584 0.851 0.659
Co1 0.000 0.000 0.000
Hf2 0.416 0.149 0.341
Hf3 0.174 0.826 0.246
Al1 0.500 0.500 0.500
Hf4 0.149 0.417 0.093
Hf5 0.826 0.174 0.754
Hf6 0.851 0.583 0.907

Uncorrected energy   -71.162 eV/f.u.
Formation enthalpy at 0 K   -74.1 meV/atom
Space-group type   C2/m, No. 12

***

Entry 2:
Ac3TcB2N6 | GGA-PBE | optimized geometry

a b c (Å): 5.547 5.547 6.554
angles (deg): 90.00 90.00 120.00
Atoms (fractional coordinates):
B1 0.333 0.667 0.278
Tc1 0.000 0.000 0.500
N1 0.360 0.180 0.703
B2 0.667 0.333 0.722
Ac1 0.000 0.000 0.000
N2 0.820 0.640 0.703
N3 0.180 0.820 0.297
N4 0.820 0.180 0.703
Ac2 0.333 0.667 0.677
Ac3 0.667 0.333 0.323
N5 0.180 0.360 0.297
N6 0.640 0.820 0.297

Uncorrected energy   -96.238 eV/f.u.
Space-group type   P-3m1, No. 164
Formation energy without anion corrections   -0.853 eV/atom

***

Entry 3:
Pr2HoBi | GGA-PBE | optimized geometry

a b c (Å): 3.597 3.597 12.622
angles (deg): 81.81 81.81 60.00
Atoms (fractional coordinates):
Ho1 0.500 0.500 0.500
Pr1 0.912 0.912 0.263
Pr2 0.088 0.088 0.737
Bi1 0.000 0.000 0.000

Uncorrected energy   -17.992 eV/f.u.
Formation enthalpy at 0 K   6.5 meV/atom
Space-group type   R-3m, No. 166